Entry 1:
# LiBH5N | Alexandria | PBE | optimized geometry
# - Calculated total energy: -4.629 eV/atom
# - Symmetry: Pbca, No. 61
# - Crystal system: orthorhombic
data_LiBH5N
_cell_length_a 5.1650
_cell_length_b 7.0474
_cell_length_c 13.9327
_cell_angle_alpha 90.00
_cell_angle_beta 90.00
_cell_angle_gamma 90.00
_symmetry_space_group_name_H-M 'P 1'
_symmetry_Int_Tables_number 1
loop_
_symmetry_equiv_pos_as_xyz
'x,y,z'
loop_
_atom_site_label
_atom_site_type_symbol
_atom_site_fract_x
_atom_site_fract_y
_atom_site_fract_z
Li1 Li 0.0663 0.0690 0.1765
Li2 Li 0.0663 0.4310 0.6765
Li3 Li 0.4337 0.5690 0.1765
Li4 Li 0.4337 0.9310 0.6765
Li5 Li 0.5663 0.0690 0.3235
Li6 Li 0.5663 0.4310 0.8235
Li7 Li 0.9337 0.5690 0.3235
Li8 Li 0.9337 0.9310 0.8235
B1 B 0.0363 0.5849 0.8470
B2 B 0.0363 0.9151 0.3470
B3 B 0.4637 0.0849 0.8470
B4 B 0.4637 0.4151 0.3470
B5 B 0.5363 0.5849 0.6530
B6 B 0.5363 0.9151 0.1530
B7 B 0.9637 0.0849 0.6530
B8 B 0.9637 0.4151 0.1530
H1 H 0.0522 0.5697 0.1808
H2 H 0.0522 0.9303 0.6808
H3 H 0.0893 0.6778 0.7745
H4 H 0.0893 0.8222 0.2745
H5 H 0.1366 0.1765 0.9275
H6 H 0.1366 0.3235 0.4275
H7 H 0.1434 0.1683 0.6105
H8 H 0.1434 0.3317 0.1105
H9 H 0.2466 0.0200 0.4693
H10 H 0.2466 0.4800 0.9693
H11 H 0.2534 0.5200 0.4693
H12 H 0.2534 0.9800 0.9693
H13 H 0.3566 0.6683 0.6105
H14 H 0.3566 0.8317 0.1105
H15 H 0.3634 0.6765 0.9275
H16 H 0.3634 0.8235 0.4275
H17 H 0.4107 0.1778 0.7745
H18 H 0.4107 0.3222 0.2745
H19 H 0.4478 0.0697 0.1808
H20 H 0.4478 0.4303 0.6808
H21 H 0.5522 0.5697 0.3192
H22 H 0.5522 0.9303 0.8192
H23 H 0.5893 0.6778 0.7255
H24 H 0.5893 0.8222 0.2255
H25 H 0.6366 0.1765 0.5725
H26 H 0.6366 0.3235 0.0725
H27 H 0.6434 0.1683 0.8895
H28 H 0.6434 0.3317 0.3895
H29 H 0.7466 0.0200 0.0307
H30 H 0.7466 0.4800 0.5307
H31 H 0.7534 0.5200 0.0307
H32 H 0.7534 0.9800 0.5307
H33 H 0.8566 0.6683 0.8895
H34 H 0.8566 0.8317 0.3895
H35 H 0.8634 0.6765 0.5725
H36 H 0.8634 0.8235 0.0725
H37 H 0.9107 0.1778 0.7255
H38 H 0.9107 0.3222 0.2255
H39 H 0.9478 0.0697 0.3192
H40 H 0.9478 0.4303 0.8192
N1 N 0.2155 0.0501 0.9065
N2 N 0.2155 0.4499 0.4065
N3 N 0.2845 0.5501 0.9065
N4 N 0.2845 0.9499 0.4065
N5 N 0.7155 0.0501 0.5935
N6 N 0.7155 0.4499 0.0935
N7 N 0.7845 0.5501 0.5935
N8 N 0.7845 0.9499 0.0935



Entry 2:
# KNi2Ir | Alexandria | PBE | optimized geometry
# - Symmetry: Fm-3m, No. 225
# - Crystal system: cubic
# - Energy above the lowest structure with this stoichiometry: 12.315 kcal/mol of atoms
# - Formation energy from the elements: 97.8 kJ per mole of atoms
data_KNi2Ir
_cell_length_a 6.3391
_cell_length_b 6.3391
_cell_length_c 6.3391
_cell_angle_alpha 90.00
_cell_angle_beta 90.00
_cell_angle_gamma 90.00
_symmetry_space_group_name_H-M 'P 1'
_symmetry_Int_Tables_number 1
loop_
_symmetry_equiv_pos_as_xyz
'x,y,z'
loop_
_atom_site_label
_atom_site_type_symbol
_atom_site_fract_x
_atom_site_fract_y
_atom_site_fract_z
K1 K 0.0000 0.0000 0.0000
K2 K 0.0000 0.5000 0.5000
K3 K 0.5000 0.0000 0.5000
K4 K 0.5000 0.5000 0.0000
Ni1 Ni 0.2500 0.2500 0.2500
Ni2 Ni 0.2500 0.2500 0.7500
Ni3 Ni 0.2500 0.7500 0.2500
Ni4 Ni 0.2500 0.7500 0.7500
Ni5 Ni 0.7500 0.2500 0.2500
Ni6 Ni 0.7500 0.2500 0.7500
Ni7 Ni 0.7500 0.7500 0.2500
Ni8 Ni 0.7500 0.7500 0.7500
Ir1 Ir 0.0000 0.0000 0.5000
Ir2 Ir 0.0000 0.5000 0.0000
Ir3 Ir 0.5000 0.0000 0.0000
Ir4 Ir 0.5000 0.5000 0.5000



Entry 3:
# CoP2W | Alexandria | PBE | optimized geometry
# - Symmetry: I-42d, No. 122
# - Crystal system: tetragonal
# - Formation energy from the elements: 10.9 kJ per mole of atoms
data_CoP2W
_cell_length_a 5.3186
_cell_length_b 5.3186
_cell_length_c 9.8324
_cell_angle_alpha 90.00
_cell_angle_beta 90.00
_cell_angle_gamma 90.00
_symmetry_space_group_name_H-M 'P 1'
_symmetry_Int_Tables_number 1
loop_
_symmetry_equiv_pos_as_xyz
'x,y,z'
loop_
_atom_site_label
_atom_site_type_symbol
_atom_site_fract_x
_atom_site_fract_y
_atom_site_fract_z
Co1 Co 0.0000 0.0000 0.0000
Co2 Co 0.0000 0.5000 0.2500
Co3 Co 0.5000 0.0000 0.7500
Co4 Co 0.5000 0.5000 0.5000
P1 P 0.2190 0.2500 0.1250
P2 P 0.2500 0.7190 0.3750
P3 P 0.2500 0.7810 0.8750
P4 P 0.2810 0.2500 0.6250
P5 P 0.7190 0.7500 0.6250
P6 P 0.7500 0.2190 0.8750
P7 P 0.7500 0.2810 0.3750
P8 P 0.7810 0.7500 0.1250
W1 W 0.0000 0.0000 0.5000
W2 W 0.0000 0.5000 0.7500
W3 W 0.5000 0.0000 0.2500
W4 W 0.5000 0.5000 0.0000



Entry 4:
# BaRhCN | Alexandria | PBE | optimized geometry
# - Symmetry: Pmm2, No. 25
# - Crystal system: orthorhombic
# - Formation energy (no corrections): -0.059 eV/atom
data_BaRhCN
_cell_length_a 3.4181
_cell_length_b 4.8047
_cell_length_c 4.1038
_cell_angle_alpha 90.00
_cell_angle_beta 90.00
_cell_angle_gamma 90.00
_symmetry_space_group_name_H-M 'P 1'
_symmetry_Int_Tables_number 1
loop_
_symmetry_equiv_pos_as_xyz
'x,y,z'
loop_
_atom_site_label
_atom_site_type_symbol
_atom_site_fract_x
_atom_site_fract_y
_atom_site_fract_z
Ba1 Ba 0.0000 0.0000 0.0000
Rh1 Rh 0.0000 0.5000 0.5128
C1 C 0.5000 0.5000 0.2041
N1 N 0.5000 0.5000 0.8873



no.,density of states at the Fermi level (states/eV/f.u.)
1,0.0
2,4.6
3,3.6
4,1.1